Entry 1:
Below is a relaxed CeSc crystal, with properties calculated at the PBE level.

## Properties
DFT total energy: -0.4490 Ry per atom
calculated volume: 25.76 A^3/atom
formation enthalpy at 0 K: 23 meV/atom
distance to the lowest polymorph of the same formula: 0.0 meV/atom
Fermi-level density of states: 9.70 states/eV per cell

POSCAR file:
```
CeSc
1.0
-1.178 2.477 1.899
-1.945 -2.609 -0.734
2.558 -0.891 11.531
Ce Sc
2 2
direct
0.726 0.711 0.422 Ce
0.393 0.294 0.171 Ce
0.066 0.876 0.917 Sc
0.054 0.130 0.676 Sc
```

***

Entry 2:
Below is a relaxed SrY2NiSe crystal, with properties calculated at the PBE level.

## Properties
DFT total energy: -0.3605 Ry per atom
calculated volume: 28.68 A^3/atom
ΔE_f (raw): -130.1 meV per atom
Fermi-level density of states: 3.62 states/eV per cell

POSCAR file:
```
SrY2NiSe
1.0
5.312 0.000 0.000
0.000 5.082 0.000
0.000 0.000 5.312
Ni Y Sr Se
1 2 1 1
direct
0.000 0.000 0.000 Ni
0.500 0.000 0.000 Y
0.000 0.000 0.500 Y
0.500 0.500 0.500 Sr
0.000 0.500 0.000 Se
```

***

Entry 3:
Below is a relaxed ReAs2P crystal, with properties calculated at the PBE level.

## Properties
DFT total energy: -0.4752 Ry per atom
calculated volume: 17.76 A^3/atom
formation enthalpy at 0 K: 324 meV/atom
Fermi-level density of states: 2.07 states/eV per cell

POSCAR file:
```
ReAs2P
1.0
-1.340 -1.894 5.689
1.623 -1.160 5.811
-0.926 3.430 1.851
P As Re
1 2 1
direct
0.250 0.250 0.250 P
0.429 0.429 0.538 As
0.071 0.071 0.962 As
0.750 0.750 0.750 Re
```

***

Entry 4:
Below is a relaxed Ta2TcS crystal, with properties calculated at the PBE level.

## Properties
DFT total energy: -0.6548 Ry per atom
calculated volume: 21.68 A^3/atom
ΔE_f (raw): 640.6 meV per atom
Fermi-level density of states: 5.20 states/eV per cell

POSCAR file:
```
Ta2TcS
1.0
-2.325 4.534 0.368
-1.342 -0.289 -4.921
-7.487 -0.917 -0.556
Ta Tc S
4 2 2
direct
0.875 0.855 0.750 Ta
0.605 0.125 0.250 Ta
0.375 0.395 0.750 Ta
0.145 0.625 0.250 Ta
0.750 0.250 0.500 Tc
0.000 0.000 0.000 Tc
0.250 0.750 0.500 S
0.500 0.500 0.000 S
```

***

Entry 5:
Below is a relaxed NaCuBi2H crystal, with properties calculated at the PBE level.

## Properties
DFT total energy: -0.1882 Ry per atom
calculated volume: 22.97 A^3/atom
Fermi-level density of states: 2.98 states/eV per cell

POSCAR file:
```
NaCuBi2H
1.0
5.759 0.000 0.000
0.000 3.463 0.000
0.000 0.000 5.759
Na H Bi Cu
1 1 2 1
direct
0.000 0.000 0.000 Na
0.000 0.500 0.000 H
0.500 0.000 0.000 Bi
0.000 0.000 0.500 Bi
0.500 0.500 0.500 Cu
```

***

Entry 6:
Below is a relaxed InRhSe2 crystal, with properties calculated at the PBE level.

## Properties
DFT total energy: -0.3194 Ry per atom
calculated volume: 20.94 A^3/atom
ΔE_f (raw): -80.5 meV per atom
Fermi-level density of states: 2.63 states/eV per cell

POSCAR file:
```
InRhSe2
1.0
-5.495 1.020 -3.635
-5.002 -3.970 -1.915
3.888 2.645 4.726
In Se Rh
1 2 1
direct
0.559 0.559 0.000 In
0.233 0.733 0.500 Se
0.933 0.933 0.000 Se
0.775 0.275 0.500 Rh
```

***

Entry 7:
Below is a relaxed Cs3Rb2BaF6 crystal, with properties calculated at the PBE level.

## Properties
DFT total energy: -0.3017 Ry per atom
calculated volume: 28.48 A^3/atom
ΔE_f (raw): -2634.6 meV per atom
Fermi-level density of states: 2.44 states/eV per cell

POSCAR file:
```
Cs3Rb2BaF6
1.0
-5.452 -2.996 4.149
7.209 -1.198 1.585
-0.475 6.997 2.561
F Cs Rb Ba
6 3 2 1
direct
0.642 0.935 0.800 F
0.234 0.234 0.784 F
0.065 0.358 0.200 F
0.935 0.642 0.800 F
0.358 0.065 0.200 F
0.766 0.766 0.216 F
0.500 0.500 0.500 Cs
0.838 0.162 0.500 Cs
0.162 0.838 0.500 Cs
0.331 0.669 0.000 Rb
0.669 0.331 0.000 Rb
0.000 0.000 0.000 Ba
```

***

Entry 8:
Below is a relaxed BeTe2Cl crystal, with properties calculated at the PBE level.

## Properties
DFT total energy: -0.2095 Ry per atom
calculated volume: 25.72 A^3/atom
ΔE_f (raw): 113.1 meV per atom
distance to the lowest polymorph of the same formula: 467.1 meV/atom
Fermi-level density of states: 2.05 states/eV per cell

POSCAR file:
```
BeTe2Cl
1.0
-0.773 2.004 -2.181
1.808 -1.467 -1.988
-8.413 -6.419 -2.916
Cl Be Te
1 1 2
direct
0.500 0.500 0.640 Cl
0.000 0.000 0.540 Be
0.000 0.000 0.984 Te
0.500 0.500 0.336 Te
```

***

Entry 9:
Below is a relaxed LaY2Si crystal, with properties calculated at the PBE level.

## Properties
DFT total energy: -0.4458 Ry per atom
calculated volume: 28.17 A^3/atom
ΔE_f (raw): -246.1 meV per atom
Fermi-level density of states: 3.98 states/eV per cell

POSCAR file:
```
LaY2Si
1.0
3.931 0.000 0.000
0.000 3.931 0.000
0.000 0.000 7.292
Si La Y
1 1 2
direct
0.500 0.500 0.780 Si
0.000 0.000 0.545 La
0.500 0.500 0.225 Y
0.000 0.000 0.949 Y
```

***

Entry 10:
Below is a relaxed ScSbPtSe2 crystal, with properties calculated at the PBE level.

## Properties
DFT total energy: -0.3216 Ry per atom
calculated volume: 27.48 A^3/atom
ΔE_f (raw): 317.2 meV per atom
Fermi-level density of states: 4.09 states/eV per cell

POSCAR file:
```
ScSbPtSe2
1.0
4.934 0.000 0.000
0.000 5.643 0.000
0.000 0.000 4.934
Sb Sc Se Pt
1 1 2 1
direct
0.000 0.500 0.000 Sb
0.000 0.000 0.000 Sc
0.500 0.000 0.000 Se
0.000 0.000 0.500 Se
0.500 0.500 0.500 Pt
```

***

Entry 11:
Below is a relaxed Li2LaIr crystal, with properties calculated at the PBE level.

## Properties
DFT total energy: -0.3486 Ry per atom
calculated volume: 18.79 A^3/atom
formation enthalpy at 0 K: -339 meV/atom
distance to the lowest polymorph of the same formula: 0.0 meV/atom
Fermi-level density of states: 1.64 states/eV per cell

POSCAR file:
```
Li2LaIr
1.0
5.349 0.000 -0.024
2.229 4.863 0.024
-3.769 -2.463 2.889
La Ir Li
1 1 2
direct
0.250 0.750 0.500 La
0.750 0.250 0.500 Ir
0.999 0.999 0.000 Li
0.501 0.501 0.000 Li
```

***

Entry 12:
Below is a relaxed NaErPb2Br8 crystal, with properties calculated at the PBE level.

## Properties
DFT total energy: -0.2606 Ry per atom
calculated volume: 35.85 A^3/atom
ΔE_f (raw): -1322.6 meV per atom
Fermi-level density of states: 0.00 states/eV per cell

POSCAR file:
```
NaErPb2Br8
1.0
-1.546 1.485 -6.810
-5.636 -3.751 0.381
-4.586 7.154 2.601
Pb Br Na Er
2 8 1 1
direct
0.500 0.500 0.253 Pb
0.500 0.500 0.747 Pb
0.150 0.769 0.232 Br
0.678 0.767 0.000 Br
0.850 0.231 0.232 Br
0.150 0.769 0.768 Br
0.340 0.263 0.500 Br
0.850 0.231 0.768 Br
0.322 0.233 0.000 Br
0.660 0.737 0.500 Br
0.000 0.000 0.500 Na
0.000 0.000 0.000 Er
```

***

Question: What is the DFT total energy in the third record?
Answer: -0.4752 Ry per atom

***

What did the fourth record say?
Below is a relaxed Ta2TcS crystal, with properties calculated at the PBE level.

## Properties
DFT total energy: -0.6548 Ry per atom
calculated volume: 21.68 A^3/atom
ΔE_f (raw): 640.6 meV per atom
Fermi-level density of states: 5.20 states/eV per cell

POSCAR file:
```
Ta2TcS
1.0
-2.325 4.534 0.368
-1.342 -0.289 -4.921
-7.487 -0.917 -0.556
Ta Tc S
4 2 2
direct
0.875 0.855 0.750 Ta
0.605 0.125 0.250 Ta
0.375 0.395 0.750 Ta
0.145 0.625 0.250 Ta
0.750 0.250 0.500 Tc
0.000 0.000 0.000 Tc
0.250 0.750 0.500 S
0.500 0.500 0.000 S
```

***

Question: The highest DFT total energy belongs to which entry?
Answer: NaCuBi2H

***

Question: The highest calculated volume belongs to which entry?
Answer: NaErPb2Br8